# 1
The following is a DFT calculation (GGA-PBE) of a relaxed structure of PuTi2Pd5.

The space group is Immm (No. 71) and the conventional cell measures 2.9583, 8.5337 and 10.6971 Å, with angles of 90.00, 90.00 and 90.00 degrees. The asymmetric unit holds Pu at (0.0000, 0.0000, 0.0000), Ti at (0.0000, 0.5000, 0.2437), Pd at (0.0000, 0.2276, 0.3637) and Pd at (0.0000, 0.5000, 0.0000).

For the energy, the calculation gives -59.13 eV per formula unit. For the volume, the calculation gives 270.0 Å³ per cell. The total magnetization comes out at 11.165 μB/cell.



# 2
The following is a DFT calculation (GGA-PBE) of a relaxed structure of Fe3AgGe.

The space group is Pm-3m (No. 221) and the conventional cell measures 4.4218, 4.4218 and 4.4218 Å, with angles of 90.00, 90.00 and 90.00 degrees. The asymmetric unit holds Fe at (0.0000, 0.0000, 0.5000), Ag at (0.5000, 0.5000, 0.5000) and Ge at (0.0000, 0.0000, 0.0000).

For the energy, the calculation gives -28.37 eV per formula unit. For the volume, the calculation gives 86.5 Å³ per cell. The total magnetization comes out at 7.512 μB/cell. The relative energy among the computed polymorphs is 0.000 eV per atom.